Entry i
Computed, not measured: a relaxed structure of KFeP2Cl at the PBE level of DFT.

It has space group P4/mmm (No. 123), with a = 5.5355 Å, b = 5.5355 Å, c = 5.5366 Å, α = 90.00°, β = 90.00° and γ = 90.00°. The distinct sites, in fractional coordinates, are K at (0.0000, 0.0000, 0.0000), Fe at (0.5000, 0.5000, 0.5000), P at (0.0000, 0.5000, 0.0000) and Cl at (0.0000, 0.0000, 0.5000).



Entry ii
Computed, not measured: a relaxed structure of KFeP2Cl at the PBE level of DFT.

It has space group P4/mmm (No. 123), with a = 4.2590 Å, b = 4.2590 Å, c = 6.8171 Å, α = 90.00°, β = 90.00° and γ = 90.00°. The distinct sites, in fractional coordinates, are K at (0.0000, 0.0000, 0.0000), Fe at (0.5000, 0.5000, 0.5000), P at (0.0000, 0.5000, 0.5000) and Cl at (0.5000, 0.5000, 0.0000).



It turns out entry ii is the most stable, with the second structure 2410 meV/atom higher.



Entry i
Computed, not measured: a relaxed structure of KFePCl2 at the PBE level of DFT.

It has space group P4/mmm (No. 123), with a = 5.0721 Å, b = 5.0721 Å, c = 4.2243 Å, α = 90.00°, β = 90.00° and γ = 90.00°. The distinct sites, in fractional coordinates, are K at (0.0000, 0.0000, 0.0000), Fe at (0.5000, 0.5000, 0.5000), P at (0.5000, 0.5000, 0.0000) and Cl at (0.0000, 0.5000, 0.5000).



Entry ii
Computed, not measured: a relaxed structure of KFePCl2 at the PBE level of DFT.

It has space group P4/mmm (No. 123), with a = 5.5948 Å, b = 5.5948 Å, c = 5.8686 Å, α = 90.00°, β = 90.00° and γ = 90.00°. The distinct sites, in fractional coordinates, are K at (0.0000, 0.0000, 0.0000), Fe at (0.5000, 0.5000, 0.5000), P at (0.0000, 0.0000, 0.5000) and Cl at (0.0000, 0.5000, 0.0000).



It turns out entry i is the most stable, with the second structure 1324 meV/atom higher.



Entry i
Computed, not measured: a relaxed structure of KFeSCl2 at the PBE level of DFT.

It has space group P4/mmm (No. 123), with a = 5.5290 Å, b = 5.5290 Å, c = 5.5952 Å, α = 90.00°, β = 90.00° and γ = 90.00°. The distinct sites, in fractional coordinates, are K at (0.0000, 0.0000, 0.0000), Fe at (0.5000, 0.5000, 0.5000), S at (0.0000, 0.0000, 0.5000) and Cl at (0.0000, 0.5000, 0.0000).



Entry ii
Computed, not measured: a relaxed structure of KFeSCl2 at the PBE level of DFT.

It has space group P4/mmm (No. 123), with a = 5.0497 Å, b = 5.0497 Å, c = 4.2075 Å, α = 90.00°, β = 90.00° and γ = 90.00°. The distinct sites, in fractional coordinates, are K at (0.0000, 0.0000, 0.0000), Fe at (0.5000, 0.5000, 0.5000), S at (0.5000, 0.5000, 0.0000) and Cl at (0.0000, 0.5000, 0.5000).



It turns out entry ii is the most stable, with the second structure 1344 meV/atom higher.